Entry 1:
## Sm2BO5 (PBE)

Data for Sm2BO5 after structural relaxation.

a = 4.3362 Å, b = 7.1306 Å, c = 10.4415 Å
α = 90.00°, β = 90.00°, γ = 107.70°
Site moments in Bohr magnetons follow the coordinates.
Sites, in units of the cell vectors:
Sm  0.8574  0.7147  0.4729  0.00
Sm  0.8574  0.7147  0.0271  0.00
Sm  0.1426  0.2853  0.5271  0.00
Sm  0.1426  0.2853  0.9729  0.00
B  0.0189  0.0379  0.7500  -0.01
B  0.9811  0.9621  0.2500  -0.01
O  0.9737  0.9473  0.8673  0.11
O  0.9737  0.9473  0.6327  0.11
O  0.3110  0.6220  0.4976  0.30
O  0.3110  0.6220  0.0024  0.30
O  0.8780  0.7561  0.2500  0.05
O  0.1220  0.2439  0.7500  0.05
O  0.6890  0.3780  0.5024  0.30
O  0.6890  0.3780  0.9976  0.30
O  0.0263  0.0527  0.1327  0.11
O  0.0263  0.0527  0.3673  0.11

Values from the calculation:
Symmetry: No. 63
DOS at the Fermi energy: 4.17 states/eV/f.u.
Final energy: -7.911 eV/atom
Formation energy without anion corrections: -2.798 eV/atom


Entry 2:
## SmSnBO5 (PBE)

Data for SmSnBO5 after structural relaxation.

a = 5.4614 Å, b = 5.4614 Å, c = 6.9801 Å
α = 102.38°, β = 102.38°, γ = 107.01°
Sites, in units of the cell vectors:
Sm  0.3527  0.6473  0.2500
Sm  0.6473  0.3527  0.7500
Sn  0.0000  0.0000  0.5000
Sn  0.0000  0.0000  0.0000
B  0.6864  0.3136  0.2500
B  0.3136  0.6864  0.7500
O  0.0963  0.9037  0.2500
O  0.9037  0.0963  0.7500
O  0.8939  0.3290  0.1369
O  0.1061  0.6710  0.8631
O  0.6710  0.1061  0.3631
O  0.3290  0.8939  0.6369
O  0.7384  0.5801  0.4113
O  0.2616  0.4199  0.5887
O  0.4199  0.2616  0.0887
O  0.5801  0.7384  0.9113

Values from the calculation:
Symmetry: No. 15
DOS at the Fermi energy: 0.00 states/eV/f.u.
Final energy: -7.420 eV/atom
Formation energy without anion corrections: -2.397 eV/atom


Entry 3:
## SrSmBO4 (PBE)

Data for SrSmBO4 after structural relaxation.

a = 5.1517 Å, b = 5.2657 Å, c = 6.9218 Å
α = 90.00°, β = 106.63°, γ = 90.00°
Sites, in units of the cell vectors:
Sr  0.7128  0.7500  0.9341
Sr  0.2872  0.2500  0.0659
Sm  0.7805  0.7500  0.4614
Sm  0.2195  0.2500  0.5386
B  0.2145  0.7500  0.2980
B  0.7855  0.2500  0.7020
O  0.9659  0.4770  0.7418
O  0.0341  0.9770  0.2582
O  0.0341  0.5230  0.2582
O  0.9659  0.0230  0.7418
O  0.4094  0.7500  0.1739
O  0.5906  0.2500  0.8261
O  0.3581  0.7500  0.5269
O  0.6419  0.2500  0.4731

Values from the calculation:
Symmetry: No. 11
DOS at the Fermi energy: 0.00 states/eV/f.u.
Final energy: -7.687 eV/atom
Formation energy without anion corrections: -2.986 eV/atom


Entry 4:
## SmTcB2O8 (PBE)

Data for SmTcB2O8 after structural relaxation.

a = 4.9260 Å, b = 4.9260 Å, c = 6.4794 Å
α = 90.00°, β = 90.00°, γ = 120.00°
Site moments in Bohr magnetons follow the coordinates.
Sites, in units of the cell vectors:
Sm  0.0000  0.0000  0.5000  -0.01
Tc  0.0000  0.0000  0.0000  -0.18
B  0.6667  0.3333  0.2670  0.00
B  0.3333  0.6667  0.7330  0.00
O  0.8274  0.1726  0.1816  0.00
O  0.8274  0.6548  0.1816  0.00
O  0.3452  0.1726  0.1816  0.00
O  0.6548  0.8274  0.8184  0.00
O  0.3333  0.6667  0.5157  0.14
O  0.6667  0.3333  0.4843  0.14
O  0.1726  0.8274  0.8184  0.00
O  0.1726  0.3452  0.8184  0.00

Values from the calculation:
Symmetry: No. 164
DOS at the Fermi energy: 5.51 states/eV/f.u.
Final energy: -7.644 eV/atom
Formation energy without anion corrections: -1.969 eV/atom


Entry 5:
## SmTl2B2O6 (PBE)

Data for SmTl2B2O6 after structural relaxation.

a = 5.5539 Å, b = 5.5961 Å, c = 7.7251 Å
α = 122.05°, β = 90.00°, γ = 119.75°
Sites, in units of the cell vectors:
Sm  0.5000  0.0000  0.5000
Tl  0.6938  0.3876  0.1368
Tl  0.3062  0.6124  0.8632
B  0.9522  0.9043  0.7350
B  0.0478  0.0957  0.2650
O  0.8007  0.6014  0.7113
O  0.1812  0.9336  0.2540
O  0.2476  0.0664  0.7460
O  0.8188  0.0664  0.7460
O  0.7524  0.9336  0.2540
O  0.1993  0.3986  0.2887

Values from the calculation:
Symmetry: No. 12
DOS at the Fermi energy: 2.60 states/eV/f.u.
Final energy: -6.864 eV/atom
Formation energy without anion corrections: -2.086 eV/atom


Entry 6:
## SmTl3B4O12 (PBE)

Data for SmTl3B4O12 after structural relaxation.

a = 6.5100 Å, b = 6.5100 Å, c = 6.5100 Å
α = 102.75°, β = 102.75°, γ = 102.75°
Sites, in units of the cell vectors:
Sm  0.0000  0.0000  0.0000
Tl  0.5312  0.4688  0.0000
Tl  0.4688  0.0000  0.5312
Tl  0.0000  0.5312  0.4688
B  0.9636  0.0364  0.5000
B  0.0364  0.5000  0.9636
B  0.5000  0.9636  0.0364
B  0.5000  0.5000  0.5000
O  0.5000  0.3647  0.6353
O  0.9011  0.5000  0.0989
O  0.0989  0.9011  0.5000
O  0.5000  0.0989  0.9011
O  0.3614  0.9742  0.1711
O  0.1711  0.3614  0.9742
O  0.9742  0.1711  0.3614
O  0.6386  0.8289  0.0258
O  0.0258  0.6386  0.8289
O  0.8289  0.0258  0.6386
O  0.6353  0.5000  0.3647
O  0.3647  0.6353  0.5000

Values from the calculation:
Symmetry: No. 155
Final energy: -6.798 eV/atom
Formation energy without anion corrections: -1.897 eV/atom


Entry 7:
## SmTl3B2O6 (PBE)

Data for SmTl3B2O6 after structural relaxation.

a = 5.5853 Å, b = 5.5853 Å, c = 7.5357 Å
α = 90.00°, β = 90.00°, γ = 120.00°
Sites, in units of the cell vectors:
Sm  0.0000  0.0000  0.5000
Tl  0.3333  0.6667  0.7905
Tl  0.6667  0.3333  0.2095
Tl  0.0000  0.0000  0.0000
B  0.6667  0.3333  0.6910
B  0.3333  0.6667  0.3090
O  0.6208  0.8104  0.3088
O  0.1896  0.3792  0.3088
O  0.1896  0.8104  0.3088
O  0.8104  0.6208  0.6912
O  0.3792  0.1896  0.6912
O  0.8104  0.1896  0.6912

Values from the calculation:
Symmetry: No. 164
DOS at the Fermi energy: 0.00 states/eV/f.u.
Final energy: -6.597 eV/atom
Formation energy without anion corrections: -2.021 eV/atom


Entry 8:
## SmUB2O8 (PBE)

Data for SmUB2O8 after structural relaxation.

a = 4.6727 Å, b = 4.6727 Å, c = 6.4836 Å
α = 111.12°, β = 111.12°, γ = 90.00°
Site moments in Bohr magnetons follow the coordinates.
Sites, in units of the cell vectors:
Sm  0.7500  0.2500  0.5000  -0.01
U  0.0000  0.0000  0.0000  -0.12
B  0.5000  0.5000  0.0000  0.00
B  0.2500  0.7500  0.5000  -0.01
O  0.7050  0.8075  0.1258  0.07
O  0.4207  0.3183  0.1258  0.07
O  0.5644  0.7122  0.6491  0.19
O  0.0847  0.9369  0.6491  0.19
O  0.0631  0.4356  0.3509  0.19
O  0.2878  0.9153  0.3509  0.19
O  0.1925  0.5793  0.8742  0.07
O  0.6817  0.2950  0.8742  0.07

Values from the calculation:
Symmetry: No. 82
DOS at the Fermi energy: 5.00 states/eV/f.u.
Final energy: -8.285 eV/atom
Formation energy without anion corrections: -2.533 eV/atom


Question: Number 7 is which compound?
Answer: SmTl3B2O6